Material: PuCrCd2O6
Method: DFT, PBE with a Hubbard U
State: relaxed

Calculated density in g cm⁻³: 7.4
Uncorrected energy in eV per cell: -69.4

Geometry as POSCAR:
```
PuCrCd2O6
1.0
4.215 0.000 0.000
0.000 5.735 0.000
0.000 0.000 5.735
Pu Cr Cd O
1 1 2 6
direct
0.651 0.000 0.000
0.645 0.500 0.500
0.027 0.500 0.000
0.027 0.000 0.500
0.692 0.257 0.257
0.692 0.257 0.743
0.170 0.500 0.500
0.158 0.000 0.000
0.692 0.743 0.743
0.692 0.743 0.257
```